Entry 1
DyTlZnS3 | PBE | optimized geometry

abc: 10.5763 3.9823 14.2487
angles: 90.00 90.00 90.00
With the nearest neighbours (Å) after each atom.
Element x y z (fractional)
Dy 0.0115 0.2500 0.2440  6 S 2.74-2.79
Dy 0.4885 0.7500 0.7440  6 S 2.74-2.79
Dy 0.5115 0.2500 0.2560  6 S 2.74-2.79
Dy 0.9885 0.7500 0.7560  6 S 2.74-2.79
Tl 0.2272 0.7500 0.4966  7 S 3.33-3.43, 2 Zn 3.66
Tl 0.2728 0.2500 0.9966  7 S 3.33-3.43, 2 Zn 3.66
Tl 0.7272 0.7500 0.0034  7 S 3.33-3.43, 2 Zn 3.66
Tl 0.7728 0.2500 0.5034  7 S 3.33-3.43, 2 Zn 3.66
Zn 0.2387 0.2500 0.7120  4 S 2.32-2.44
Zn 0.2613 0.7500 0.2120  4 S 2.32-2.44
Zn 0.7387 0.2500 0.7880  4 S 2.32-2.44
Zn 0.7613 0.7500 0.2880  4 S 2.32-2.44
S 0.0488 0.2500 0.6300  1 Zn 2.32
S 0.0788 0.7500 0.1222  1 Zn 2.32
S 0.2404 0.7500 0.8106  2 Zn 2.44
S 0.2596 0.2500 0.3106  2 Zn 2.44
S 0.4212 0.2500 0.6222  1 Zn 2.32
S 0.4512 0.7500 0.1300  1 Zn 2.32
S 0.5488 0.2500 0.8700  1 Zn 2.32
S 0.5788 0.7500 0.3778  1 Zn 2.32
S 0.7404 0.7500 0.6894  2 Zn 2.44
S 0.7596 0.2500 0.1894  2 Zn 2.44
S 0.9212 0.2500 0.8778  1 Zn 2.32
S 0.9512 0.7500 0.3700  1 Zn 2.32

The size of the total moment comes out at 0.00 μB/atom.



Entry 2
DyTlZnS3 | PBE | optimized geometry

abc: 14.4900 3.9783 10.7341
angles: 90.00 90.00 90.00
With the nearest neighbours (Å) after each atom.
Element x y z (fractional)
Dy 0.0234 0.2500 0.1556  6 S 2.69-2.86
Dy 0.4766 0.7500 0.6556  6 S 2.69-2.86
Dy 0.5234 0.2500 0.3444  6 S 2.69-2.86
Dy 0.9766 0.7500 0.8444  6 S 2.69-2.86
Tl 0.2430 0.2500 0.4614  4 S 3.12-3.41
Tl 0.2570 0.7500 0.9614  4 S 3.12-3.41
Tl 0.7430 0.2500 0.0386  4 S 3.12-3.41
Tl 0.7570 0.7500 0.5386  4 S 3.12-3.41
Zn 0.0185 0.7500 0.4016  4 S 2.33-2.41
Zn 0.4815 0.2500 0.9016  4 S 2.33-2.41
Zn 0.5185 0.7500 0.0984  4 S 2.33-2.41
Zn 0.9815 0.2500 0.5984  4 S 2.33-2.41
S 0.0751 0.7500 0.6130  3 Zn 2.41
S 0.0937 0.2500 0.9235  3 Dy 2.69-2.75
S 0.1333 0.7500 0.2503  1 Zn 2.33
S 0.3667 0.2500 0.7503  1 Zn 2.33
S 0.4063 0.7500 0.4235  3 Dy 2.69-2.75
S 0.4249 0.2500 0.1130  3 Zn 2.41
S 0.5751 0.7500 0.8870  3 Zn 2.41
S 0.5937 0.2500 0.5765  3 Dy 2.69-2.75
S 0.6333 0.7500 0.2497  1 Zn 2.33
S 0.8667 0.2500 0.7497  1 Zn 2.33
S 0.9063 0.7500 0.0765  3 Dy 2.69-2.75
S 0.9249 0.2500 0.3870  3 Zn 2.41

The size of the total moment comes out at 0.00 μB/atom.



Entry 3
DyTlZnS3 | PBE | optimized geometry

abc: 8.4387 8.4387 8.8765
angles: 103.88 103.88 27.78
With the nearest neighbours (Å) after each atom.
Element x y z (fractional)
Dy 0.1696 0.1696 0.0925  6 S 2.70-2.79
Dy 0.8304 0.8304 0.9075  6 S 2.70-2.79
Tl 0.1415 0.1415 0.5632  7 S 3.02-3.37
Tl 0.8585 0.8585 0.4368  7 S 3.02-3.37
Zn 0.4990 0.4990 0.7822  3 S 2.39-2.54
Zn 0.5010 0.5010 0.2178  3 S 2.39-2.54
S 0.0000 0.0000 0.0000  2 Dy 2.70, 4 Zn 2.80
S 0.3415 0.3415 0.1277  1 Zn 2.54, 3 Dy 2.76-2.79
S 0.3485 0.3485 0.7176  1 Zn 2.39
S 0.5000 0.5000 0.5000  2 Zn 2.51
S 0.6515 0.6515 0.2824  1 Zn 2.39
S 0.6585 0.6585 0.8723  1 Zn 2.54, 3 Dy 2.76-2.79

The size of the total moment comes out at 0.00 μB/atom.



Sorted by energy, starting with the most stable: entry 1, entry 2, entry 3.



Entry 1
DyTlZnS3 | PBE | optimized geometry

abc: 7.4108 7.4108 10.5711
angles: 90.00 90.00 148.90
With the nearest neighbours (Å) after each atom.
Element x y z (fractional)
Dy 0.0000 0.0000 0.0000  6 S 2.75-2.78
Dy 0.0000 0.0000 0.5000  6 S 2.75-2.78
Tl 0.2535 0.7465 0.7500  6 S 3.32-3.36, 2 Zn 3.65
Tl 0.7465 0.2535 0.2500  6 S 3.32-3.36, 2 Zn 3.65
Zn 0.4609 0.5391 0.2500  4 S 2.32-2.44
Zn 0.5391 0.4609 0.7500  4 S 2.32-2.44
S 0.0599 0.9401 0.2500  2 Zn 2.44
S 0.3757 0.6243 0.0631  1 Zn 2.32
S 0.3757 0.6243 0.4369  1 Zn 2.32
S 0.6243 0.3757 0.5631  1 Zn 2.32
S 0.6243 0.3757 0.9369  1 Zn 2.32
S 0.9401 0.0599 0.7500  2 Zn 2.44

The size of the total moment comes out at 0.00 μB/atom.



Entry 2
DyTlZnS3 | PBE | optimized geometry

abc: 11.2193 4.1039 11.9644
angles: 90.00 90.00 90.00
With the nearest neighbours (Å) after each atom.
Element x y z (fractional)
Dy 0.0231 0.2500 0.1694  6 S 2.77-2.89
Dy 0.4769 0.7500 0.6694  6 S 2.77-2.89
Dy 0.5231 0.2500 0.3306  6 S 2.77-2.89
Dy 0.9769 0.7500 0.8306  6 S 2.77-2.89
Tl 0.1622 0.2500 0.5083  7 S 3.08-3.45, 2 Zn 3.38
Tl 0.3378 0.7500 0.0083  7 S 3.08-3.45, 2 Zn 3.38
Tl 0.6622 0.2500 0.9917  7 S 3.08-3.45, 2 Zn 3.38
Tl 0.8378 0.7500 0.4917  7 S 3.08-3.45, 2 Zn 3.38
Zn 0.2487 0.2500 0.8001  4 S 2.33-2.40
Zn 0.2513 0.7500 0.3001  4 S 2.33-2.40
Zn 0.7487 0.2500 0.6999  4 S 2.33-2.40
Zn 0.7513 0.7500 0.1999  4 S 2.33-2.40
S 0.0452 0.7500 0.3230  1 Zn 2.33
S 0.1020 0.2500 0.9398  1 Zn 2.35
S 0.2220 0.7500 0.6995  2 Zn 2.40
S 0.2780 0.2500 0.1995  2 Zn 2.40
S 0.3980 0.7500 0.4398  1 Zn 2.35
S 0.4548 0.2500 0.8230  1 Zn 2.33
S 0.5452 0.7500 0.1770  1 Zn 2.33
S 0.6020 0.2500 0.5602  1 Zn 2.35
S 0.7220 0.7500 0.8005  2 Zn 2.40
S 0.7780 0.2500 0.3005  2 Zn 2.40
S 0.8980 0.7500 0.0602  1 Zn 2.35
S 0.9548 0.2500 0.6770  1 Zn 2.33

The size of the total moment comes out at 0.00 μB/atom.



Sorted by energy, starting with the most stable: entry 1, entry 2.



Entry 1
DyTlZnS3 | PBE | optimized geometry

abc: 9.8264 3.9833 14.9096
angles: 90.00 90.00 90.00
With the nearest neighbours (Å) after each atom.
Element x y z (fractional)
Dy 0.1730 0.2500 0.0590  6 S 2.60-2.85
Dy 0.3270 0.7500 0.5590  6 S 2.60-2.85
Dy 0.6730 0.2500 0.4410  6 S 2.60-2.85
Dy 0.8270 0.7500 0.9410  6 S 2.60-2.85
Tl 0.0145 0.7500 0.3236  4 S 3.12-3.43
Tl 0.4855 0.2500 0.8236  4 S 3.12-3.43
Tl 0.5145 0.7500 0.1764  4 S 3.12-3.43
Tl 0.9855 0.2500 0.6764  4 S 3.12-3.43
Zn 0.1691 0.7500 0.8659  4 S 2.26-2.50
Zn 0.3309 0.2500 0.3659  4 S 2.26-2.50
Zn 0.6691 0.7500 0.6341  4 S 2.26-2.50
Zn 0.8309 0.2500 0.1341  4 S 2.26-2.50
S 0.0227 0.2500 0.8963  2 Zn 2.50
S 0.1806 0.2500 0.4856  1 Zn 2.32
S 0.2215 0.7500 0.7186  1 Zn 2.26
S 0.2785 0.2500 0.2186  1 Zn 2.26
S 0.3194 0.7500 0.9856  1 Zn 2.32
S 0.4773 0.7500 0.3963  2 Zn 2.50
S 0.5227 0.2500 0.6037  2 Zn 2.50
S 0.6806 0.2500 0.0144  1 Zn 2.32
S 0.7215 0.7500 0.7814  1 Zn 2.26
S 0.7785 0.2500 0.2814  1 Zn 2.26
S 0.8194 0.7500 0.5144  1 Zn 2.32
S 0.9773 0.7500 0.1037  2 Zn 2.50

The size of the total moment comes out at 0.00 μB/atom.



Entry 2
DyTlZnS3 | PBE | optimized geometry

abc: 8.0476 3.9729 10.2871
angles: 90.00 109.32 90.00
With the nearest neighbours (Å) after each atom.
Element x y z (fractional)
Dy 0.1903 0.2500 0.1378  6 S 2.69-2.91
Dy 0.8097 0.7500 0.8622  6 S 2.69-2.91
Tl 0.2280 0.7500 0.7150  4 S 3.14-3.26
Tl 0.7720 0.2500 0.2850  4 S 3.14-3.26
Zn 0.4245 0.7500 0.3917  4 S 2.32-2.43
Zn 0.5755 0.2500 0.6083  4 S 2.32-2.43
S 0.0454 0.2500 0.8618  3 Dy 2.69-2.75
S 0.2831 0.2500 0.4359  3 Zn 2.41-2.43
S 0.4333 0.7500 0.1686  1 Zn 2.32
S 0.5667 0.2500 0.8314  1 Zn 2.32
S 0.7169 0.7500 0.5641  3 Zn 2.41-2.43
S 0.9546 0.7500 0.1382  3 Dy 2.69-2.75

The size of the total moment comes out at 0.00 μB/atom.



Sorted by energy, starting with the most stable: entry 2, entry 1.



Entry 1
DySiSb | PBE | optimized geometry

abc: 4.9374 4.9374 4.9374
angles: 60.00 60.00 60.00
With the nearest neighbours (Å) after each atom.
Element x y z (fractional)
Dy 0.0000 0.0000 0.0000  4 Sb 3.02, 4 Si 3.02
Si 0.2500 0.2500 0.2500  4 Dy 3.02
Sb 0.7500 0.7500 0.7500  4 Dy 3.02

The size of the total moment comes out at 0.00 μB/atom.



Entry 2
DySiSb | PBE | optimized geometry

abc: 4.8287 4.8287 4.8287
angles: 60.00 60.00 60.00
With the nearest neighbours (Å) after each atom.
Element x y z (fractional)
Dy 0.0000 0.0000 0.0000  4 Si 2.96
Si 0.2500 0.2500 0.2500  4 Dy 2.96, 4 Sb 2.96
Sb 0.5000 0.5000 0.5000  4 Si 2.96

The size of the total moment comes out at 0.00 μB/atom.



Sorted by energy, starting with the most stable: entry 2, entry 1.



Entry 1
DyScSn | PBE | optimized geometry

abc: 4.9874 4.9874 4.9874
angles: 60.00 60.00 60.00
With the nearest neighbours (Å) after each atom.
Element x y z (fractional)
Dy 0.0000 0.0000 0.0000  4 Sn 3.05
Sc 0.5000 0.5000 0.5000  4 Sn 3.05
Sn 0.2500 0.2500 0.2500  4 Sc 3.05, 4 Dy 3.05

The size of the total moment comes out at 0.00 μB/atom.



Entry 2
DyScSn | PBE | optimized geometry

abc: 5.0738 5.0738 5.0738
angles: 60.00 60.00 60.00
With the nearest neighbours (Å) after each atom.
Element x y z (fractional)
Dy 0.0000 0.0000 0.0000  4 Sn 3.11, 4 Sc 3.11
Sc 0.7500 0.7500 0.7500  4 Dy 3.11
Sn 0.2500 0.2500 0.2500  4 Dy 3.11

The size of the total moment comes out at 0.10 μB/atom.



Sorted by energy, starting with the most stable: entry 1, entry 2.



Entry 1
DyScZn2Sn2 | PBE | optimized geometry

abc: 4.4907 4.4907 15.0074
angles: 90.00 90.00 120.00
With the nearest neighbours (Å) after each atom.
Element x y z (fractional)
Dy 0.0000 0.0000 0.2500  6 Zn 2.95
Dy 0.0000 0.0000 0.7500  6 Zn 2.95
Sc 0.0000 0.0000 0.0000  6 Sn 3.04
Sc 0.0000 0.0000 0.5000  6 Sn 3.04
Zn 0.3333 0.6667 0.1557  3 Sn 2.70, 1 Zn 2.83, 3 Dy 2.95
Zn 0.3333 0.6667 0.3443  3 Sn 2.70, 1 Zn 2.83, 3 Dy 2.95
Zn 0.6667 0.3333 0.6557  3 Sn 2.70, 1 Zn 2.83, 3 Dy 2.95
Zn 0.6667 0.3333 0.8443  3 Sn 2.70, 1 Zn 2.83, 3 Dy 2.95
Sn 0.3333 0.6667 0.6059  3 Zn 2.70
Sn 0.3333 0.6667 0.8941  3 Zn 2.70
Sn 0.6667 0.3333 0.1059  3 Zn 2.70
Sn 0.6667 0.3333 0.3941  3 Zn 2.70

The size of the total moment comes out at 0.00 μB/atom.



Entry 2
DyScZn2Sn2 | PBE | optimized geometry

abc: 4.4525 4.4525 15.3118
angles: 90.00 90.00 120.00
With the nearest neighbours (Å) after each atom.
Element x y z (fractional)
Dy 0.0000 0.0000 0.0000  6 Sn 3.13
Dy 0.0000 0.0000 0.5000  6 Sn 3.13
Sc 0.0000 0.0000 0.2500  6 Zn 2.89
Sc 0.0000 0.0000 0.7500  6 Zn 2.89
Zn 0.3333 0.6667 0.1637  1 Zn 2.64, 3 Sn 2.67, 3 Sc 2.89
Zn 0.3333 0.6667 0.3363  1 Zn 2.64, 3 Sn 2.67, 3 Sc 2.89
Zn 0.6667 0.3333 0.6637  1 Zn 2.64, 3 Sn 2.67, 3 Sc 2.89
Zn 0.6667 0.3333 0.8363  1 Zn 2.64, 3 Sn 2.67, 3 Sc 2.89
Sn 0.3333 0.6667 0.6167  3 Zn 2.67
Sn 0.3333 0.6667 0.8833  3 Zn 2.67
Sn 0.6667 0.3333 0.1167  3 Zn 2.67
Sn 0.6667 0.3333 0.3833  3 Zn 2.67

The size of the total moment comes out at 0.00 μB/atom.



Sorted by energy, starting with the most stable: entry 2, entry 1.